Density functional theory data (PBE) for K3SmBr6 after structural relaxation. Values from VASP.

Computed properties:
Calculated volume = 764 Å³/cell
Total energy = -72.63 eV per cell
M_tot = 0.0002 μB/atom

Quantum ESPRESSO input file:
```
&SYSTEM
  ibrav = 0, nat = 20, ntyp = 3
/
ATOMIC_SPECIES
Br 79.90 Br.upf
K 39.10 K.upf
Sm 150.36 Sm.upf
CELL_PARAMETERS angstrom
-1.3930 7.5581 1.9496
-4.0938 1.1370 -7.3333
-8.4217 -10.3216 3.1010
ATOMIC_POSITIONS angstrom
Br -11.5798 -0.0091 -2.7387
Br -6.5035 -2.7605 0.0695
Br -7.4050 1.1341 -2.3522
Br -1.7206 2.2414 -0.4563
Br -3.9688 1.8580 -4.5434
Br -2.3287 -1.6174 0.4559
Br -5.4788 1.6069 1.1581
Br -12.1879 -3.8679 -1.8264
Br -5.8180 4.7210 -1.5109
Br -8.4297 -3.2334 -3.4409
Br -9.9397 -3.4844 2.2606
Br -8.0905 -6.3474 -0.7719
K -4.3215 -0.0017 -1.7082
K -4.9074 -1.3817 2.5253
K -2.7434 4.3476 -2.6919
K -9.5870 -1.6248 -0.5746
K -7.1350 -5.5506 2.3454
K -6.7735 3.9241 -4.6282
Sm -6.2577 -4.5923 -2.1162
Sm 0.0000 0.0000 0.0000
```